29
Lattice="-6.246 4.599 4.123 -8.441 -2.250 -0.920 -4.354 -3.569 6.743" Properties=species:S:1:pos:R:3 comment="Er2Ge6Pd21 PBE optimized geometry" magnetic_moment_mub_per_atom=0.000 formation_enthalpy_0k_kj_per_mol_fu=-1570 space_group="Fm-3m (225)" pbc="T T T"
Pd -2.162 1.592 1.427
Pd -4.084 3.007 2.696
Pd -7.764 0.318 6.599
Pd -10.229 1.730 5.754
Pd -7.026 -2.707 1.733
Pd -9.714 0.947 2.943
Pd -2.922 -0.779 -0.318
Pd -5.008 -0.742 5.836
Pd -7.681 0.120 0.826
Pd -11.791 -0.756 6.160
Pd -11.276 -1.538 3.348
Pd -9.326 -2.168 7.004
Pd 0.000 0.000 0.000
Pd -1.507 -1.235 2.334
Pd -5.768 -3.113 4.091
Pd -5.591 1.772 5.030
Pd -7.005 2.228 2.378
Pd -5.519 -1.471 -0.601
Pd -7.249 -0.465 3.787
Pd -8.811 -2.950 4.192
Pd -2.847 -2.334 4.409
Ge -7.114 -1.988 5.797
Ge -11.926 0.768 4.149
Ge -9.017 -1.374 2.229
Ge -11.045 -3.036 5.369
Ge -10.023 0.153 7.718
Ge -7.995 1.816 4.577
Er -14.280 -0.915 7.460
Er -4.760 -0.305 2.487

***

5
Lattice="6.154 0.000 0.000 0.000 6.154 0.000 0.000 0.000 6.154" Properties=species:S:1:pos:R:3 comment="Ba3NaOs PBE optimized geometry" magnetic_moment_mub_per_atom=0.000 polymorph_energy_ev_per_fu=0.00 formation_enthalpy_0k_kj_per_mol_fu=170 space_group="Pm-3m (221)" pbc="T T T"
Ba 0.000 0.000 3.077
Ba 0.000 3.077 0.000
Ba 3.077 0.000 0.000
Os 0.000 0.000 0.000
Na 3.077 3.077 3.077

***

5
Lattice="-1.562 5.850 -0.517 -4.562 -0.872 3.918 3.698 1.395 4.616" Properties=species:S:1:pos:R:3 comment="CsSbPb3 PBE optimized geometry" magnetic_moment_mub_per_atom=0.000 polymorph_energy_ev_per_fu=2.05 space_group="Pm-3m (221)" raw_formation_energy_mev_per_atom=232 pbc="T T T"
Pb -0.781 2.925 -0.259
Pb -2.281 -0.436 1.959
Pb 1.849 0.698 2.308
Sb 0.000 0.000 0.000
Cs -1.213 3.187 4.008

***

16
Lattice="11.619 0.000 0.000 0.000 11.619 0.000 0.000 0.000 3.218" Properties=species:S:1:pos:R:3 comment="CrPb PBE optimized geometry" magnetic_moment_mub_per_atom=0.000 formation_enthalpy_0k_kj_per_mol_fu=158 space_group="I4/m (87)" pbc="T T T"
Cr 2.242 8.471 1.609
Cr 3.568 8.958 0.000
Cr 8.051 2.662 0.000
Cr 8.958 8.051 0.000
Cr 8.471 9.378 1.609
Cr 3.148 2.242 1.609
Cr 2.662 3.568 0.000
Cr 9.378 3.148 1.609
Pb 5.384 2.974 0.000
Pb 2.974 6.235 0.000
Pb 2.836 11.194 1.609
Pb 6.235 8.645 0.000
Pb 8.784 0.426 1.609
Pb 11.194 8.784 1.609
Pb 8.645 5.384 0.000
Pb 0.426 2.836 1.609

***

4
Lattice="-9.284 0.549 0.697 -9.057 -1.787 -1.327 -8.862 -2.348 1.715" Properties=species:S:1:pos:R:3 comment="Zn2RuPb PBE optimized geometry" magnetic_moment_mub_per_atom=0.118 formation_enthalpy_0k_kj_per_mol_fu=117 space_group="R-3m (166)" pbc="T T T"
Pb -6.801 -0.896 0.271
Ru -20.402 -2.689 0.814
Zn -13.204 -1.740 0.527
Zn -0.397 -0.052 0.016

***

13
Lattice="6.966 -0.001 0.000 -3.483 6.033 0.000 0.000 0.000 9.423" Properties=species:S:1:pos:R:3 comment="PmTm6Pb6 PBE optimized geometry" magnetic_moment_mub_per_atom=0.000 formation_enthalpy_0k_kj_per_mol_fu=-388 space_group="P6/mmm (191)" pbc="T T T"
Tm -1.741 3.017 7.056
Tm -1.741 3.017 2.367
Tm 3.483 0.000 2.367
Tm 1.742 3.016 7.056
Tm 3.483 0.000 7.056
Tm 1.742 3.016 2.368
Pb 0.001 4.022 0.000
Pb 3.483 2.011 0.000
Pb 0.000 0.000 6.254
Pb 0.000 4.022 4.712
Pb 3.484 2.010 4.712
Pb 0.000 0.000 3.170
Pm 0.000 0.000 0.000

***

5
Lattice="-3.211 2.030 0.894 -3.470 -1.129 -1.384 -3.574 -5.818 8.897" Properties=species:S:1:pos:R:3 comment="Sc2SI2 PBE optimized geometry" magnetic_moment_mub_per_atom=0.000 space_group="C2/m (12)" raw_formation_energy_mev_per_atom=-1482 pbc="T T T"
S -3.522 -3.474 3.757
Sc -5.926 -3.912 4.638
Sc -4.330 -1.005 3.769
I -5.307 -1.319 0.971
I -4.948 -3.598 7.437

***

12
Lattice="-3.361 -3.800 1.475 5.849 -4.701 1.215 -0.784 6.776 6.209" Properties=species:S:1:pos:R:3 comment="AcHo5Hg6 PBE optimized geometry" magnetic_moment_mub_per_atom=0.046 formation_enthalpy_0k_kj_per_mol_fu=-523 space_group="Immm (71)" pbc="T T T"
Hg 2.558 -5.306 1.618
Hg 4.462 -2.578 3.524
Hg 1.707 -0.364 2.952
Hg -0.070 -3.195 1.072
Hg -2.758 0.853 5.376
Hg -0.003 -1.361 5.948
Ho -1.530 -1.074 3.209
Ho 1.400 -3.395 3.905
Ho 3.234 -0.651 5.691
Ho 0.304 1.670 4.995
Ho 2.924 -2.350 0.608
Ac 0.000 0.000 0.000

***

no.,density of states at the Fermi level (states/eV/f.u.)
1,19.601
2,12.369
3,4.732
4,1.517
5,2.881
6,9.403
7,1.602
8,11.854